Entry 1:
{"formula": "BeBiAu", "functional": "PBE-GGA", "state": "optimized geometry", "e_tot_ev_per_atom": -3.6268, "delta_e_f_ev_per_atom": 0.00, "mass_density_g_cm3": 11.77, "n_ef_per_ev_cell": 2.05, "vol_a3_per_atom": 19.516, "cell": [[4.0220, 0.0000, -0.0007], [0.0000, 4.0233, 0.0011], [0.0009, 0.0014, 7.2363]], "species": ["Be", "Be", "Au", "Au", "Bi", "Bi"], "fractional_positions": [[0.6701, 0.5731, 0.8178], [0.1708, 0.0775, 0.8179], [0.1703, 0.5770, 0.0015], [0.6707, 0.0735, 0.6344], [0.6704, 0.0760, 0.1687], [0.1705, 0.5745, 0.4672]]}



Entry 2:
{"formula": "BeBiAu4", "functional": "PBE-GGA", "state": "optimized geometry", "e_tot_ev_per_atom": -3.5006, "delta_e_f_ev_per_atom": -0.05, "mass_density_g_cm3": 14.46, "n_ef_per_ev_cell": 3.65, "vol_a3_per_atom": 19.248, "polymorph_energy_ev_per_fu": 0.00, "cell": [[5.7968, -0.1279, -0.9980], [-0.2519, 5.7051, -2.1943], [-0.4995, -0.5026, 7.2787]], "species": ["Be", "Be", "Bi", "Bi", "Au", "Au", "Au", "Au", "Au", "Au", "Au", "Au"], "fractional_positions": [[0.6793, 0.4862, 0.9725], [0.3207, 0.5138, 0.0275], [0.1309, 0.1964, 0.3928], [0.8691, 0.8036, 0.6072], [0.7368, 0.3054, 0.6108], [0.5997, 0.3455, 0.2213], [0.0000, 0.2565, 0.0000], [0.4003, 0.1241, 0.7787], [0.2632, 0.6946, 0.3892], [0.4003, 0.6545, 0.7787], [0.0000, 0.7435, 0.0000], [0.5997, 0.8759, 0.2213]]}



Entry 3:
{"formula": "BeBiAu3", "functional": "PBE-GGA", "state": "optimized geometry", "e_tot_ev_per_atom": -2.4062, "delta_e_f_ev_per_atom": 1.08, "mass_density_g_cm3": 8.44, "n_ef_per_ev_cell": 1.37, "vol_a3_per_atom": 31.812, "polymorph_energy_ev_per_fu": 5.54, "cell": [[-1.9613, 4.8716, -1.3331], [-5.0220, -2.0332, -0.0415], [-0.5376, 1.2206, 5.2515]], "species": ["Be", "Au", "Au", "Au", "Bi"], "fractional_positions": [[0.5000, 0.5000, 0.5000], [0.0000, 0.5000, 0.0000], [0.0000, 0.0000, 0.5000], [0.5000, 0.0000, 0.0000], [0.0000, 0.0000, 0.0000]]}



Entry 4:
{"formula": "BeBiAu", "functional": "PBE-GGA", "state": "optimized geometry", "e_tot_ev_per_atom": -3.4985, "delta_e_f_ev_per_atom": 0.13, "mass_density_g_cm3": 10.92, "n_ef_per_ev_cell": 2.77, "vol_a3_per_atom": 21.031, "cell": [[7.3393, 0.0000, 0.0000], [0.0000, 4.7793, 0.0000], [0.0000, 0.0000, 7.1950]], "species": ["Be", "Be", "Be", "Be", "Au", "Au", "Au", "Au", "Bi", "Bi", "Bi", "Bi"], "fractional_positions": [[0.0000, 0.0000, 0.0000], [0.5000, 0.5000, 0.5000], [0.5000, 0.0000, 0.5000], [0.0000, 0.5000, 0.0000], [0.9004, 0.2500, 0.7506], [0.5996, 0.7500, 0.2506], [0.0996, 0.7500, 0.2494], [0.4004, 0.2500, 0.7494], [0.3415, 0.2500, 0.1506], [0.1585, 0.7500, 0.6506], [0.6585, 0.7500, 0.8494], [0.8415, 0.2500, 0.3494]]}